A relaxed YAgPbS3 crystal. Source: OQMD, functional PBE-GGA.

abc: 7.5072 4.0136 9.8165
angles: 90.00 105.99 90.00
Closest atoms and distances in Å follow each position.
Space group P2_1/m (No. 11)
Unique sites:
Y 0.2001 0.2500 0.1529 x2  6 S 2.73-2.90
Ag 0.3956 0.7500 0.4082 x2  3 S 2.51-2.57
Pb 0.2217 0.7500 0.6963 x2  7 S 3.03-3.17
S 0.0650 0.2500 0.8642 x2  3 Y 2.73-2.80, 2 Pb 3.03
S 0.2015 0.2500 0.4483 x2  2 Ag 2.57
S 0.4517 0.7500 0.1676 x2  1 Ag 2.51, 2 Y 2.73

Results
ρ	5.8	g/cm³
energy relative to the lowest polymorph listed for this composition	23	meV per atom


A relaxed Cu5Ag crystal. Source: OQMD, functional PBE-GGA.

abc: 3.7161 11.1595 3.7158
angles: 90.00 90.00 90.00
Closest atoms and distances in Å follow each position.
Space group Cmmm (No. 65)
Unique sites:
Cu 0.0000 0.0000 0.0000 x2  4 Ag 2.63, 8 Cu 2.68
Cu 0.0000 0.1726 0.5000 x4  10 Cu 2.54-2.68, 2 Ag 2.68
Cu 0.0000 0.3275 0.0000 x4  10 Cu 2.54-2.68, 2 Ag 2.68
Ag 0.0000 0.5000 0.5000 x2  12 Cu 2.63-2.68

Results
ΔH_f (0 K)	5.70	kJ per mole of atoms
ρ	9.2	g/cm³


A relaxed PrHoGa6 crystal. Source: OQMD, functional PBE-GGA.

abc: 6.3618 6.3618 4.5497
angles: 90.00 90.00 120.00
Closest atoms and distances in Å follow each position.
Space group P-6m2 (No. 187)
Unique sites:
Pr 0.0000 0.0000 0.0000 x1  12 Ga 3.09-3.19
Ho 0.3333 0.6667 0.5000 x1  12 Ga 3.06-3.19
Ga 0.3795 0.1897 0.5000 x3  6 Ga 2.74-2.78
Ga 0.5189 0.0379 0.0000 x3  6 Ga 2.78-2.82, 2 Ho 3.06

Results
ρ	7.5	g/cm³
electronic total energy	-31.870	eV per formula unit


A relaxed Sr3Zn2Mo2 crystal. Source: OQMD, functional PBE-GGA.

abc: 4.6057 4.6057 33.8535
angles: 90.00 90.00 120.00
Closest atoms and distances in Å follow each position.
Space group R3m (No. 160, hexagonal axes)
Unique sites:
Sr 0.0000 0.0000 0.0000 x3  3 Zn 3.51, 3 Sr 3.91
Sr 0.0000 0.0000 0.2327 x3  1 Mo 3.16, 3 Zn 3.34
Sr 0.0000 0.0000 0.7515 x3  4 Zn 2.72-2.99
Zn 0.0000 0.0000 0.4008 x3  3 Sr 2.72, 1 Mo 2.78
Zn 0.0000 0.0000 0.8397 x3  6 Mo 2.77-2.89, 1 Sr 2.99
Mo 0.0000 0.0000 0.1394 x3  3 Mo 2.68, 3 Zn 2.89
Mo 0.0000 0.0000 0.4829 x3  3 Mo 2.68, 4 Zn 2.77-2.78

Results
ρ	4.7	g/cm³
electronic total energy	-27.133	eV per formula unit


A relaxed TaZnNO crystal. Source: OQMD, functional PBE-GGA.

abc: 5.6580 6.5183 5.4636
angles: 90.00 90.00 90.00
Closest atoms and distances in Å follow each position.
Space group Pca2_1 (No. 29)
Unique sites:
Ta 0.0804 0.0860 0.0000 x4  1 N 1.95, 3 O 2.05-2.11
Zn 0.1185 0.6000 0.9220 x4  3 N 2.01-2.03, 1 O 2.18
N 0.0530 0.6433 0.5630 x4  1 Ta 1.95, 3 Zn 2.01-2.03
O 0.0829 0.1730 0.6276 x4  3 Ta 2.05-2.11, 1 Zn 2.18

Results
ρ	9.1	g/cm³
energy relative to the lowest polymorph listed for this composition	217	meV per atom


A relaxed Na2Mg2AlZnAu2 crystal. Source: OQMD, functional PBE-GGA.

abc: 4.6918 4.6918 6.6543
angles: 90.00 90.00 90.00
Closest atoms and distances in Å follow each position.
Space group P-4m2 (No. 115)
Unique sites:
Na 0.0000 0.5000 0.2429 x2  4 Mg 2.85-2.90, 2 Zn 2.85, 2 Al 2.90
Mg 0.0000 0.0000 0.0000 x1  4 Na 2.85, 4 Au 2.91
Mg 0.5000 0.5000 0.5000 x1  4 Au 2.84, 4 Na 2.90
Al 0.0000 0.0000 0.5000 x1  4 Au 2.84, 4 Na 2.90
Zn 0.5000 0.5000 0.0000 x1  4 Na 2.85, 4 Au 2.91
Au 0.0000 0.5000 0.7402 x2  4 Mg 2.84-2.91, 2 Al 2.84, 2 Zn 2.91

Results
ρ	6.6	g/cm³
electronic total energy	-19.158	eV per formula unit


A relaxed CuBr crystal. Source: OQMD, functional PBE-GGA.

abc: 3.6108 3.6108 3.4675
angles: 90.00 90.00 120.00
Closest atoms and distances in Å follow each position.
Space group P-6m2 (No. 187)
Unique sites:
Cu 0.0000 0.0000 0.0000 x1  6 Br 2.71
Br 0.3333 0.6667 0.5000 x1  6 Cu 2.71

Results
ρ	6.1	g/cm³
electronic total energy	-5.295	eV per formula unit


A relaxed Pd crystal. Source: OQMD, functional PBE-GGA.

abc: 4.7664 5.5027 32.4528
angles: 90.00 90.08 90.00
Closest atoms and distances in Å follow each position.
Space group P2_1/m (No. 11)
Unique sites:
Pd 0.0000 0.0000 0.0000 x2  12 Pd 2.75-2.79
Pd 0.0012 0.0029 0.2129 x4  11 Pd 2.72-2.83
Pd 0.1636 0.2500 0.8590 x2  12 Pd 2.75-2.83
Pd 0.1643 0.7500 0.2811 x2  7 Pd 2.73-2.79
Pd 0.1651 0.7500 0.8581 x2  12 Pd 2.75-2.82
Pd 0.1677 0.2500 0.0708 x2  12 Pd 2.75-2.80
Pd 0.1686 0.7500 0.0706 x2  12 Pd 2.75-2.80
Pd 0.3324 0.0000 0.9293 x4  12 Pd 2.75-2.81
Pd 0.3348 0.0012 0.1416 x4  12 Pd 2.74-2.81
Pd 0.3379 0.0009 0.7188 x4  7 Pd 2.73-2.77
Pd 0.4942 0.2500 0.2131 x2  11 Pd 2.72-2.82
Pd 0.4971 0.2500 0.7890 x2  12 Pd 2.75-2.79
Pd 0.5000 0.2500 0.0001 x2  12 Pd 2.75-2.79

Results
ΔH_f (0 K)	17.17	kJ per mole of atoms
ρ	7.1	g/cm³
energy relative to the lowest polymorph listed for this composition	178	meV per atom


A relaxed TcSn2Pd crystal. Source: OQMD, functional PBE-GGA.

abc: 6.7029 6.7029 6.7029
angles: 90.00 90.00 90.00
Closest atoms and distances in Å follow each position.
Space group F-43m (No. 216)
Unique sites:
Tc 0.0000 0.0000 0.0000 x4  4 Sn 2.90, 4 Pd 2.90
Sn 0.0000 0.0000 0.5000 x4  4 Pd 2.90, 4 Sn 2.90
Sn 0.2500 0.2500 0.2500 x4  4 Sn 2.90, 4 Tc 2.90
Pd 0.2500 0.2500 0.7500 x4  4 Sn 2.90, 4 Tc 2.90

Results
ρ	9.7	g/cm³
electronic total energy	-22.138	eV per formula unit


A relaxed TlHg3Te4Pb crystal. Source: OQMD, functional PBE-GGA.

abc: 7.1503 7.1503 7.1503
angles: 90.00 90.00 90.00
Closest atoms and distances in Å follow each position.
Space group P-43m (No. 215)
Unique sites:
Tl 0.0000 0.0000 0.0000 x1  4 Te 3.17
Hg 0.0000 0.5000 0.5000 x3  4 Te 3.07
Te 0.2560 0.2560 0.2560 x4  1 Pb 3.02, 3 Hg 3.07, 1 Tl 3.17
Pb 0.5000 0.5000 0.5000 x1  4 Te 3.02

Results
ρ	6.9	g/cm³
electronic total energy	-20.014	eV per formula unit


A relaxed SmPPdO crystal. Source: OQMD, functional PBE-GGA.

abc: 4.1027 4.1027 7.9526
angles: 90.00 90.00 90.00
Closest atoms and distances in Å follow each position.
Space group P4/nmm (No. 129, origin choice 2)
Unique sites:
Sm 0.2500 0.2500 0.1388 x2  4 O 2.33
P 0.2500 0.2500 0.6578 x2  4 Pd 2.40
Pd 0.2500 0.7500 0.5000 x2  4 P 2.40
O 0.2500 0.7500 0.0000 x2  4 Sm 2.33

Results
ρ	7.5	g/cm³
energy relative to the lowest polymorph listed for this composition	0	meV per atom


A relaxed SmBeAsO crystal. Source: OQMD, functional PBE-GGA.

abc: 3.1204 5.4456 7.1383
angles: 90.00 90.00 90.00
Closest atoms and distances in Å follow each position.
Space group Pmc2_1 (No. 26)
Unique sites:
Sm 0.0000 0.1650 0.0000 x2  2 O 2.27-2.30
Be 0.5000 0.3006 0.3538 x2  2 O 1.70
As 0.5000 0.3475 0.6687 x2  2 Be 2.26-2.33
O 0.0000 0.1844 0.3182 x2  2 Be 1.70

Results
ρ	6.9	g/cm³
energy relative to the lowest polymorph listed for this composition	272	meV per atom


A relaxed DyY2In3Pt2 crystal. Source: OQMD, functional PBE-GGA.

abc: 3.6380 13.3297 7.7296
angles: 90.00 90.00 90.00
Closest atoms and distances in Å follow each position.
Space group Amm2 (No. 38)
Unique sites:
Dy 0.0000 0.0000 0.0000 x2  4 Pt 2.93, 2 In 3.25
Y 0.0000 0.2102 0.3686 x4  4 Pt 2.94-2.95, 2 In 3.25
In 0.5000 0.0000 0.3483 x2  2 Pt 3.04, 2 In 3.08, 2 Dy 3.25, 4 Y 3.34
In 0.5000 0.1151 0.6941 x4  2 Pt 3.05, 2 In 3.07-3.08, 4 Y 3.25-3.35, 2 Dy 3.35
Pt 0.5000 0.1659 0.0784 x4  2 Dy 2.93, 4 Y 2.94-2.95, 3 In 3.04-3.05

Results
ρ	9.5	g/cm³
electronic total energy	-44.940	eV per formula unit


A relaxed Y4Zr2Cd3C3 crystal. Source: OQMD, functional PBE-GGA.

abc: 10.5088 6.0764 16.2098
angles: 90.00 101.55 90.00
Closest atoms and distances in Å follow each position.
Space group C2/c (No. 15)
Unique sites:
Y 0.1105 0.0749 0.0896 x8  3 C 2.50-2.53
Y 0.2186 0.0879 0.4102 x8  3 C 2.50-2.54
Zr 0.0656 0.4119 0.9275 x8  3 C 2.25-2.28
Cd 0.0000 0.1311 0.7500 x4  2 Cd 3.02, 2 Zr 3.30, 4 Y 3.30-3.38
Cd 0.1439 0.4389 0.2508 x8  2 Cd 3.02, 1 Zr 3.26, 3 Y 3.32-3.37
C 0.0767 0.2701 0.5000 x8  2 Zr 2.25, 2 Y 2.50
C 0.2500 0.2500 0.0000 x4  2 Zr 2.28, 4 Y 2.50

Results
ρ	6.0	g/cm³
electronic total energy	-77.966	eV per formula unit


A relaxed SmH4NCl4 crystal. Source: OQMD, functional PBE-GGA.

abc: 7.1856 7.1856 13.9224
angles: 90.00 90.00 90.00
Closest atoms and distances in Å follow each position.
Space group I4_1/a (No. 88, origin choice 2)
Unique sites:
Sm 0.0000 0.2500 0.1250 x4  4 Cl 2.68
H 0.0818 0.1639 0.6673 x16  1 N 1.04
N 0.0000 0.2500 0.6250 x4  4 H 1.04
Cl 0.2163 0.0285 0.2320 x16  1 H 2.20

Results
ρ	2.9	g/cm³
electronic total energy	-46.498	eV per formula unit


A relaxed Gd2HoGe4Au4 crystal. Source: OQMD, functional PBE-GGA.

abc: 4.3902 7.0688 14.6371
angles: 90.00 90.00 90.00
Closest atoms and distances in Å follow each position.
Space group Immm (No. 71)
Unique sites:
Gd 0.0000 0.0000 0.1267 x4  6 Au 3.10-3.34, 6 Ge 3.16-3.19
Ho 0.0000 0.5000 0.0000 x2  6 Ge 3.12-3.16
Ge 0.0000 0.3141 0.5000 x4  2 Au 2.57, 1 Ge 2.63
Ge 0.0000 0.5000 0.2156 x4  6 Au 2.71-2.72
Au 0.0000 0.2013 0.3328 x8  4 Ge 2.57-2.72, 1 Au 2.85

Results
ρ	11.4	g/cm³
electronic total energy	-52.866	eV per formula unit


A relaxed NdTmH2Cl4 crystal. Source: OQMD, functional PBE-GGA.

abc: 3.7998 3.7998 13.2976
angles: 90.00 90.00 120.00
Closest atoms and distances in Å follow each position.
Space group P-6m2 (No. 187)
Unique sites:
Nd 0.0000 0.0000 0.0000 x1  3 H 2.19
Tm 0.0000 0.0000 0.5000 x1  3 H 2.19
H 0.3333 0.6667 0.5000 x1  3 Tm 2.19
H 0.6667 0.3333 0.0000 x1  3 Nd 2.19
Cl 0.3333 0.6667 0.1370 x2  3 Nd 2.85, 3 H 2.85
Cl 0.6667 0.3333 0.3725 x2  3 Tm 2.77, 3 H 2.77

Results
ρ	4.6	g/cm³
electronic total energy	-37.315	eV per formula unit


A relaxed PmSb crystal. Source: OQMD, functional PBE-GGA.

abc: 4.3453 4.3453 11.3839
angles: 90.00 90.00 120.00
Closest atoms and distances in Å follow each position.
Space group R-3m (No. 166, hexagonal axes)
Unique sites:
Pm 0.0000 0.0000 0.0000 x3  6 Sb 3.15
Sb 0.0000 0.0000 0.5000 x3  6 Pm 3.15

Results
ρ	7.1	g/cm³
energy relative to the lowest polymorph listed for this composition	19	meV per atom


A relaxed ZnPtAu crystal. Source: OQMD, functional PBE-GGA.

abc: 6.1462 6.1462 6.1462
angles: 90.00 90.00 90.00
Closest atoms and distances in Å follow each position.
Space group F-43m (No. 216)
Unique sites:
Zn 0.0000 0.0000 0.0000 x4  4 Pt 2.66
Pt 0.2500 0.2500 0.7500 x4  4 Zn 2.66, 4 Au 2.66
Au 0.0000 0.0000 0.5000 x4  4 Pt 2.66

Results
ΔH_f (0 K)	-5.18	kJ per mole of atoms
ρ	13.1	g/cm³
energy relative to the lowest polymorph listed for this composition	0	meV per atom


A relaxed PmBePd crystal. Source: OQMD, functional PBE-GGA.

abc: 6.2227 6.2227 6.2227
angles: 90.00 90.00 90.00
Closest atoms and distances in Å follow each position.
Space group F-43m (No. 216)
Unique sites:
Pm 0.0000 0.0000 0.0000 x4  4 Be 2.69
Be 0.2500 0.2500 0.7500 x4  4 Pm 2.69, 4 Pd 2.69
Pd 0.0000 0.0000 0.5000 x4  4 Be 2.69

Results
ρ	7.2	g/cm³
energy relative to the lowest polymorph listed for this composition	19	meV per atom


A relaxed TmNbIr crystal. Source: OQMD, functional PBE-GGA.

abc: 6.4273 6.4273 6.4273
angles: 90.00 90.00 90.00
Closest atoms and distances in Å follow each position.
Space group F-43m (No. 216)
Unique sites:
Tm 0.0000 0.0000 0.0000 x4  4 Ir 2.78
Nb 0.0000 0.0000 0.5000 x4  4 Ir 2.78
Ir 0.2500 0.2500 0.7500 x4  4 Nb 2.78, 4 Tm 2.78

Results
ΔH_f (0 K)	-24.37	kJ per mole of atoms
ρ	11.4	g/cm³
energy relative to the lowest polymorph listed for this composition	0	meV per atom


A relaxed HgSbSeO crystal. Source: OQMD, functional PBE-GGA.

abc: 3.9824 3.9824 10.0187
angles: 90.00 90.00 90.00
Closest atoms and distances in Å follow each position.
Space group P4/nmm (No. 129, origin choice 2)
Unique sites:
Hg 0.2500 0.7500 0.0000 x2  4 Hg 2.82, 4 Se 3.11
Sb 0.2500 0.2500 0.3830 x2  4 O 2.31
Se 0.2500 0.2500 0.7622 x2  4 Hg 3.11, 4 Sb 3.17, 4 O 3.30
O 0.2500 0.7500 0.5000 x2  4 Sb 2.31

Results
ρ	8.7	g/cm³
energy relative to the lowest polymorph listed for this composition	158	meV per atom


A relaxed NdTmSO2 crystal. Source: OQMD, functional PBE-GGA.

abc: 3.8469 3.8469 6.6437
angles: 90.00 90.00 120.00
Closest atoms and distances in Å follow each position.
Space group P3m1 (No. 156)
Unique sites:
Nd 0.0000 0.0000 0.0000 x1  4 O 2.32-2.40
Tm 0.6667 0.3333 0.4374 x1  4 O 2.22-2.28
S 0.3333 0.6667 0.7109 x1  3 Tm 2.87, 3 Nd 2.94, 3 O 3.21
O 0.0000 0.0000 0.3613 x1  3 Tm 2.28, 1 Nd 2.40
O 0.6667 0.3333 0.1032 x1  1 Tm 2.22, 3 Nd 2.32

Results
ρ	7.4	g/cm³
electronic total energy	-38.942	eV per formula unit